# 1
Here is a relaxed structure of Pm4IrAuBr2 from Alexandria. Energies are from PBE.

Summary:
Formation energy without anion corrections (eV per atom): -1.047
E (eV per atom): -5.358

a b c (Å): 7.348 4.192 8.101
angles (deg): 90.00 108.03 90.00
Space group P2/m (No. 10)
Symmetry-distinct sites (fractional):
Pm: 0.225 0.000 0.199 [2 per cell]
Pm: 0.243 0.500 0.797 [2 per cell]
Ir: 0.000 0.500 0.000 [1 per cell]
Au: 0.500 0.000 0.000 [1 per cell]
Br: 0.000 0.000 0.500 [1 per cell]
Br: 0.500 0.500 0.500 [1 per cell]


# 2
Here is a relaxed structure of Pr6Ir2AuBr3 from Alexandria. Energies are from PBE.

Summary:
Formation energy without anion corrections (eV per atom): -1.068
E (eV per atom): -5.626

a b c (Å): 7.372 12.777 8.198
angles (deg): 90.00 107.40 90.00
Space group C2/m (No. 12)
Symmetry-distinct sites (fractional):
Pr: 0.214 0.000 0.199 [4 per cell]
Pr: 0.242 0.324 0.199 [8 per cell]
Ir: 0.000 0.167 0.000 [4 per cell]
Au: 0.000 0.500 0.000 [2 per cell]
Br: 0.000 0.000 0.500 [2 per cell]
Br: 0.000 0.332 0.500 [4 per cell]